Record 1
Pr3Al12Ru4 PBE optimized geometry; final energy = -5.7038 eV per atom; size of the total moment = 1.03 μB per cell
1.0
-0.1716 8.8281 1.1463
-4.3790 -5.3089 5.6497
7.9436 -0.5749 5.6168
Pr Al Ru
6 24 8
Direct
0.1926 0.3852 0.2500 Pr
0.8074 0.6148 0.7500 Pr
0.6148 0.8074 0.2500 Pr
0.3852 0.1926 0.7500 Pr
0.1926 0.8074 0.2500 Pr
0.8074 0.1926 0.7500 Pr
0.3333 0.6667 0.0079 Al
0.6667 0.3333 0.9921 Al
0.6667 0.3333 0.5079 Al
0.3333 0.6667 0.4921 Al
0.1627 0.3255 0.5751 Al
0.8373 0.6745 0.4249 Al
0.6745 0.8373 0.5751 Al
0.8373 0.6745 0.0751 Al
0.3255 0.1627 0.4249 Al
0.1627 0.3255 0.9249 Al
0.1627 0.8373 0.5751 Al
0.3255 0.1627 0.0751 Al
0.8373 0.1627 0.4249 Al
0.6745 0.8373 0.9249 Al
0.8373 0.1627 0.0751 Al
0.1627 0.8373 0.9249 Al
0.5629 0.1258 0.2500 Al
0.4371 0.8742 0.7500 Al
0.8742 0.4371 0.2500 Al
0.1258 0.5629 0.7500 Al
0.5629 0.4371 0.2500 Al
0.4371 0.5629 0.7500 Al
0.0000 0.0000 0.2500 Al
0.0000 0.0000 0.7500 Al
0.5000 0.0000 0.0000 Ru
0.0000 0.5000 0.0000 Ru
0.5000 0.0000 0.5000 Ru
0.5000 0.5000 0.0000 Ru
0.0000 0.5000 0.5000 Ru
0.5000 0.5000 0.5000 Ru
0.0000 0.0000 0.0000 Ru
0.0000 0.0000 0.5000 Ru


Record 2
PrAl3Ru PBE optimized geometry; final energy = -5.5309 eV per atom; size of the total moment = 0.00 μB per cell
1.0
4.7084 0.0000 0.0000
0.0000 4.7084 0.0000
0.0000 0.0000 4.7084
Pr Ru Al
1 1 3
Direct
0.5000 0.5000 0.5000 Pr
0.0000 0.0000 0.0000 Ru
0.0000 0.5000 0.0000 Al
0.0000 0.0000 0.5000 Al
0.5000 0.0000 0.0000 Al


The highest size of the total moment belongs to which entry? Pr3Al12Ru4


Number 1 is which compound? Pr3Al12Ru4


What is the formula in the second record? PrAl3Ru